A plane-wave DFT calculation with PBE with a Hubbard U was carried out for crystalline RbAcVO4 at its relaxed geometry.

Values from the calculation:
The theoretical density is 4.87 g cm⁻³. Its space group is No. 11. The volume comes out at 291.2 Å³ per cell. The calculation puts the total moment at 1.00 μB/f.u. For the raw total energy, the calculation gives -0.518 Ry/atom.

```
RbAcVO4
1.0
6.327 0.000 0.000
0.000 6.081 0.000
-2.116 0.000 7.569
Rb Ac V O
2 2 2 8
direct
0.174 0.250 0.415
0.826 0.750 0.585
0.280 0.250 0.948
0.720 0.750 0.052
0.257 0.750 0.181
0.743 0.250 0.819
0.060 0.750 0.309
0.070 0.750 0.958
0.449 0.522 0.185
0.449 0.978 0.185
0.551 0.022 0.815
0.551 0.478 0.815
0.930 0.250 0.042
0.940 0.250 0.691
```